[1]
DFT (PBE) results for a geometry-optimized Sr3Bi2Sb2Pd4 structure.

Output
**Total magnetic moment**: 0.00 Bohr magnetons per cell
**ΔE_f (raw)**: -745.9 kJ/mol of formula units

CIF file:
```
data_Sr3Bi2Sb2Pd4
_symmetry_space_group_name_H-M 'P -3 m 1'
_symmetry_Int_Tables_number 164
_symmetry_space_group_name_Hall '-P 3 2"'
_cell_length_a 4.8264
_cell_length_b 4.8264
_cell_length_c 14.2741
_cell_angle_alpha 90.00
_cell_angle_beta 90.00
_cell_angle_gamma 120.00
loop_
_atom_site_label
_atom_site_fract_x
_atom_site_fract_y
_atom_site_fract_z
_atom_site_occupancy
Sr1 0.0000 0.0000 0.0000 1
Sr2 0.0000 0.0000 0.2754 1
Bi1 0.3333 0.6667 0.5737 1
Sb1 0.3333 0.6667 0.1565 1
Pd1 0.3333 0.6667 0.3776 1
Pd2 0.3333 0.6667 0.8597 1
```

***

[2]
DFT (PBE) results for a geometry-optimized KNb2Tc structure.

Output
**ΔH_f (0 K)**: 1.5797 eV per atom
**Total magnetic moment**: 0.00 Bohr magnetons per cell
**ΔE to the lowest computed polymorph**: 404 meV/atom

CIF file:
```
data_KNb2Tc
_symmetry_space_group_name_H-M 'I -4 2 d'
_symmetry_Int_Tables_number 122
_symmetry_space_group_name_Hall 'I -4 2bw'
_cell_length_a 5.3125
_cell_length_b 5.3125
_cell_length_c 16.9627
_cell_angle_alpha 90.00
_cell_angle_beta 90.00
_cell_angle_gamma 90.00
loop_
_atom_site_label
_atom_site_fract_x
_atom_site_fract_y
_atom_site_fract_z
_atom_site_occupancy
K1 0.0000 0.0000 0.0000 1
Nb1 0.0303 0.2500 0.6250 1
Tc1 0.0000 0.0000 0.5000 1
```

***

[3]
DFT (PBE) results for a geometry-optimized AgBPt3 structure.

Output
**ΔH_f (0 K)**: -0.0981 eV per atom
**Total magnetic moment**: 0.00 Bohr magnetons per cell
**ΔE to the lowest computed polymorph**: 126 meV/atom

CIF file:
```
data_AgBPt3
_symmetry_space_group_name_H-M 'P 1 21/c 1'
_symmetry_Int_Tables_number 14
_symmetry_space_group_name_Hall '-P 2ybc'
_cell_length_a 7.3934
_cell_length_b 5.4687
_cell_length_c 9.7415
_cell_angle_alpha 90.00
_cell_angle_beta 130.35
_cell_angle_gamma 90.00
loop_
_atom_site_label
_atom_site_fract_x
_atom_site_fract_y
_atom_site_fract_z
_atom_site_occupancy
Ag1 0.1611 0.2045 0.0872 1
B1 0.2418 0.5463 0.3009 1
Pt1 0.0885 0.6176 0.7952 1
Pt2 0.3337 0.7008 0.1610 1
Pt3 0.4230 0.2488 0.9724 1
```

***

[4]
DFT (PBE) results for a geometry-optimized MnP2Pb structure.

Output
**ΔH_f (0 K)**: 0.0373 eV per atom
**Total magnetic moment**: 2.97 Bohr magnetons per cell

CIF file:
```
data_MnP2Pb
_symmetry_space_group_name_H-M 'P 1 2/m 1'
_symmetry_Int_Tables_number 10
_symmetry_space_group_name_Hall '-P 2y'
_cell_length_a 4.4934
_cell_length_b 3.7877
_cell_length_c 4.9496
_cell_angle_alpha 90.00
_cell_angle_beta 102.64
_cell_angle_gamma 90.00
loop_
_atom_site_label
_atom_site_fract_x
_atom_site_fract_y
_atom_site_fract_z
_atom_site_occupancy
Mn1 0.0000 0.0000 0.0000 1
P1 0.2604 0.5000 0.8843 1
Pb1 0.5000 0.0000 0.5000 1
```